(1)
A geometry-optimized Y3ZrPt structure, computed with GGA-PBE.

Cell lengths 5.412, 5.412, 5.412 Å; angles 90.00, 90.00, 90.00 degrees
Each line ends with the local moment (μB).
Positions (direct):
Pt: 0.000 0.000 0.000  0.03
Y: 0.000 0.500 0.000  0.04
Y: 0.500 0.000 0.000  0.06
Y: 0.000 0.000 0.500  0.06
Zr: 0.500 0.500 0.500  0.98

Results
Density = 5792 kg/m3
Symmetry = Pm-3m
Raw total energy = -6.876 eV/atom


(2)
A geometry-optimized YZr3Pt structure, computed with GGA-PBE.

Cell lengths 5.170, 5.170, 5.170 Å; angles 90.00, 90.00, 90.00 degrees
Positions (direct):
Zr: 0.500 0.000 0.000
Zr: 0.000 0.500 0.000
Zr: 0.000 0.000 0.500
Pt: 0.000 0.000 0.000
Y: 0.500 0.500 0.500

Results
Density = 6701 kg/m3
Symmetry = Pm-3m
Raw total energy = -7.581 eV/atom


(3)
A geometry-optimized YZr3Pt structure, computed with GGA-PBE.

Cell lengths 5.044, 5.044, 5.044 Å; angles 90.00, 90.00, 90.00 degrees
Positions (direct):
Zr: 0.000 0.000 0.500
Y: 0.000 0.000 0.000
Zr: 0.000 0.500 0.000
Zr: 0.500 0.000 0.000
Pt: 0.500 0.500 0.500

Results
Density = 7216 kg/m3
Symmetry = Pm-3m
Raw total energy = -6.170 eV/atom


Q: density of number 1 (Y3ZrPt)?
A: 5792 kg/m3


Q: Which of these has the lowest raw total energy?
A: number 2


Repeat the third record exactly.
A geometry-optimized YZr3Pt structure, computed with GGA-PBE.

Cell lengths 5.044, 5.044, 5.044 Å; angles 90.00, 90.00, 90.00 degrees
Positions (direct):
Zr: 0.000 0.000 0.500
Y: 0.000 0.000 0.000
Zr: 0.000 0.500 0.000
Zr: 0.500 0.000 0.000
Pt: 0.500 0.500 0.500

Results
Density = 7216 kg/m3
Symmetry = Pm-3m
Raw total energy = -6.170 eV/atom


Q: Which of these has the highest raw total energy?
A: number 3